Here is a relaxed structure of Ca2SmO3 from Alexandria. Energies are from GGA-PBE.

Summary:
Total moment = 0.00 μB/f.u.
Space-group type = Immm, No. 71
Calculated total energy = -0.249 Ha/atom

a = 4.8761 Å, b = 6.8705 Å, c = 6.0016 Å
α = 106.66°, β = 113.97°, γ = 90.00°
Fractional coordinates of all 12 atoms:
Ca  0.6682  0.5841  0.3364
Ca  0.6682  0.0841  0.3364
Ca  0.3318  0.9159  0.6636
Ca  0.3318  0.4159  0.6636
Sm  0.0000  0.7500  0.0000
Sm  0.0000  0.2500  0.0000
O  0.5000  0.2500  0.0000
O  0.5000  0.7500  0.0000
O  0.1686  0.0843  0.3372
O  0.8314  0.4157  0.6628
O  0.1686  0.5843  0.3372
O  0.8314  0.9157  0.6628